# 1
# PmDy3Y12, optimized geometry, DFT GGA-PBE
# **Formation energy from the elements**: 0.37 eV per formula unit
# **Final energy**: -5.9850 eV/atom
# **Spin magnetization**: 0.00 μB/f.u.
# **DOS(E_F)**: 22.326 states/eV/f.u.
data_PmDy3Y12
_chemical_formula_sum 'Pm1 Dy3 Y12'
_symmetry_space_group_name_H-M 'P 4/m m m'
_symmetry_Int_Tables_number 123
_symmetry_space_group_name_Hall '-P 4 2'
_cell_length_a 5.051
_cell_length_b 5.051
_cell_length_c 20.206
_cell_angle_alpha 90.00
_cell_angle_beta 90.00
_cell_angle_gamma 90.00
loop_
_atom_site_label
_atom_site_fract_x
_atom_site_fract_y
_atom_site_fract_z
Pm1 0.000 0.000 0.000
Dy1 0.000 0.000 0.251
Dy2 0.000 0.000 0.500
Y1 0.000 0.500 0.126
Y2 0.000 0.500 0.375
Y3 0.500 0.500 0.000
Y4 0.500 0.500 0.251
Y5 0.500 0.500 0.500

# 2
# Pm6Dy2Y, optimized geometry, DFT GGA-PBE
# **Formation energy from the elements**: 1.16 eV per formula unit
# **Final energy**: -4.7793 eV/atom
# **ΔE to the lowest computed polymorph**: 0 meV/atom
# **Spin magnetization**: 0.00 μB/f.u.
# **DOS(E_F)**: 12.803 states/eV/f.u.
data_Pm6Dy2Y
_chemical_formula_sum 'Pm12 Dy4 Y2'
_symmetry_space_group_name_H-M 'C m m m'
_symmetry_Int_Tables_number 65
_symmetry_space_group_name_Hall '-C 2 2'
_cell_length_a 9.397
_cell_length_b 17.690
_cell_length_c 3.660
_cell_angle_alpha 90.00
_cell_angle_beta 90.00
_cell_angle_gamma 90.00
loop_
_atom_site_label
_atom_site_fract_x
_atom_site_fract_y
_atom_site_fract_z
Pm1 0.177 0.165 0.000
Pm2 0.182 0.000 0.500
Dy1 0.000 0.321 0.500
Y1 0.000 0.500 0.000

# 3
# Pm8Dy3Y, optimized geometry, DFT GGA-PBE
# **Formation energy from the elements**: 0.29 eV per formula unit
# **Final energy**: -4.8317 eV/atom
# **Spin magnetization**: 0.00 μB/f.u.
# **DOS(E_F)**: 21.225 states/eV/f.u.
data_Pm8Dy3Y
_chemical_formula_sum 'Pm8 Dy3 Y1'
_symmetry_space_group_name_H-M 'P 1'
_symmetry_Int_Tables_number 1
_cell_length_a 6.353
_cell_length_b 8.598
_cell_length_c 8.611
_cell_angle_alpha 85.06
_cell_angle_beta 68.38
_cell_angle_gamma 68.43
loop_
_symmetry_equiv_pos_as_xyz
'x,y,z'
loop_
_atom_site_label
_atom_site_fract_x
_atom_site_fract_y
_atom_site_fract_z
Pm1 0.000 0.000 0.000
Pm2 0.000 0.499 0.499
Pm3 0.330 0.169 0.169
Pm4 0.331 0.668 0.669
Pm5 0.334 0.249 0.748
Pm6 0.335 0.748 0.249
Pm7 0.666 0.415 0.917
Pm8 0.666 0.916 0.417
Dy1 0.669 0.334 0.334
Dy2 0.998 0.082 0.583
Dy3 0.998 0.582 0.083
Y1 0.669 0.834 0.834

# 4
# PmDy2Y3, optimized geometry, DFT GGA-PBE
# **Formation energy from the elements**: 0.40 eV per formula unit
# **Final energy**: -5.4918 eV/atom
# **ΔE to the lowest computed polymorph**: 58 meV/atom
# **Spin magnetization**: 0.00 μB/f.u.
# **DOS(E_F)**: 10.407 states/eV/f.u.
data_PmDy2Y3
_chemical_formula_sum 'Pm4 Dy8 Y12'
_symmetry_space_group_name_H-M 'C 1 2/c 1'
_symmetry_Int_Tables_number 15
_cell_length_a 8.998
_cell_length_b 9.820
_cell_length_c 8.973
_cell_angle_alpha 90.00
_cell_angle_beta 102.48
_cell_angle_gamma 90.00
loop_
_symmetry_equiv_pos_as_xyz
'x,y,z'
'-x,-y,-z'
'-x,y,-z+1/2'
'x,-y,z+1/2'
'x+1/2,y+1/2,z'
'-x+1/2,-y+1/2,-z'
'-x+1/2,y+1/2,-z+1/2'
'x+1/2,-y+1/2,z+1/2'
loop_
_atom_site_label
_atom_site_fract_x
_atom_site_fract_y
_atom_site_fract_z
Pm1 0.000 0.098 0.250
Dy1 0.125 0.251 0.624
Y1 0.000 0.428 0.250
Y2 0.240 0.082 0.992

# 5
# PmDy5Y3, optimized geometry, DFT GGA-PBE
# **Formation energy from the elements**: 3.74 eV per formula unit
# **Final energy**: -4.8237 eV/atom
# **ΔE to the lowest computed polymorph**: 117 meV/atom
# **Spin magnetization**: 0.00 μB/f.u.
# **DOS(E_F)**: 13.712 states/eV/f.u.
data_PmDy5Y3
_chemical_formula_sum 'Pm4 Dy20 Y12'
_symmetry_space_group_name_H-M 'C 1 2/m 1'
_symmetry_Int_Tables_number 12
_cell_length_a 16.790
_cell_length_b 7.988
_cell_length_c 12.299
_cell_angle_alpha 90.00
_cell_angle_beta 130.63
_cell_angle_gamma 90.00
loop_
_symmetry_equiv_pos_as_xyz
'x,y,z'
'-x,-y,-z'
'-x,y,-z'
'x,-y,z'
'x+1/2,y+1/2,z'
'-x+1/2,-y+1/2,-z'
'-x+1/2,y+1/2,-z'
'x+1/2,-y+1/2,z'
loop_
_atom_site_label
_atom_site_fract_x
_atom_site_fract_y
_atom_site_fract_z
Pm1 0.236 0.000 0.126
Dy1 0.000 0.320 0.000
Dy2 0.064 0.205 0.780
Dy3 0.123 0.000 0.566
Dy4 0.200 0.500 0.072
Y1 0.000 0.000 0.000
Y2 0.000 0.500 0.500
Y3 0.119 0.500 0.313
Y4 0.178 0.000 0.342

# 6
# PmDy2Y, optimized geometry, DFT GGA-PBE
# **Formation energy from the elements**: 0.08 eV per formula unit
# **Final energy**: -5.0839 eV/atom
# **ΔE to the lowest computed polymorph**: 7 meV/atom
# **Spin magnetization**: 0.00 μB/f.u.
# **DOS(E_F)**: 5.296 states/eV/f.u.
data_PmDy2Y
_chemical_formula_sum 'Pm1 Dy2 Y1'
_symmetry_space_group_name_H-M 'P 4/m m m'
_symmetry_Int_Tables_number 123
_symmetry_space_group_name_Hall '-P 4 2'
_cell_length_a 3.577
_cell_length_b 3.577
_cell_length_c 10.120
_cell_angle_alpha 90.00
_cell_angle_beta 90.00
_cell_angle_gamma 90.00
loop_
_atom_site_label
_atom_site_fract_x
_atom_site_fract_y
_atom_site_fract_z
Pm1 0.000 0.000 0.000
Dy1 0.500 0.500 0.252
Y1 0.000 0.000 0.500